# PBE Nd6Si2HgI3, relaxed
data_Nd6Si2HgI3
_cell_length_a 19.822
_cell_length_b 4.335
_cell_length_c 9.273
_cell_angle_alpha 90.00
_cell_angle_beta 106.29
_cell_angle_gamma 90.00
_space_group_name_H-M_alt 'C 1 2/m 1'
_space_group_IT_number 12
loop_
_space_group_symop_operation_xyz
'x,y,z'
'-x,-y,-z'
'-x,y,-z'
'x,-y,z'
'x+1/2,y+1/2,z'
'-x+1/2,-y+1/2,-z'
'-x+1/2,y+1/2,-z'
'x+1/2,-y+1/2,z'
loop_
_atom_site_label
_atom_site_type_symbol
_atom_site_fract_x
_atom_site_fract_y
_atom_site_fract_z
_atom_site_occupancy
Nd1 Nd 0.014 0.000 0.241 1
Nd2 Nd 0.163 0.500 0.121 1
Nd3 Nd 0.178 0.500 0.556 1
Si1 Si 0.168 0.000 0.336 1
Hg1 Hg 0.000 0.500 0.000 1
I1 I 0.000 0.500 0.500 1
I2 I 0.166 0.000 0.832 1
# DFT total energy (eV/cell): -108.87
# ΔE_f (raw) (meV/atom): -836

# PBE ZrCdFe2N, relaxed
data_ZrCdFe2N
_cell_length_a 3.971
_cell_length_b 3.971
_cell_length_c 4.317
_cell_angle_alpha 90.00
_cell_angle_beta 90.00
_cell_angle_gamma 90.00
_space_group_name_H-M_alt 'P 4/m m m'
_space_group_IT_number 123
_space_group_name_Hall '-P 4 2'
loop_
_atom_site_label
_atom_site_type_symbol
_atom_site_fract_x
_atom_site_fract_y
_atom_site_fract_z
_atom_site_occupancy
Zr1 Zr 0.000 0.000 0.000 1
Cd1 Cd 0.500 0.500 0.000 1
Fe1 Fe 0.000 0.500 0.500 1
N1 N 0.000 0.000 0.500 1
# DFT total energy (eV/cell): -35.10
# ΔE_f (raw) (meV/atom): -77

What did the first record say?
# PBE Nd6Si2HgI3, relaxed
data_Nd6Si2HgI3
_cell_length_a 19.822
_cell_length_b 4.335
_cell_length_c 9.273
_cell_angle_alpha 90.00
_cell_angle_beta 106.29
_cell_angle_gamma 90.00
_space_group_name_H-M_alt 'C 1 2/m 1'
_space_group_IT_number 12
loop_
_space_group_symop_operation_xyz
'x,y,z'
'-x,-y,-z'
'-x,y,-z'
'x,-y,z'
'x+1/2,y+1/2,z'
'-x+1/2,-y+1/2,-z'
'-x+1/2,y+1/2,-z'
'x+1/2,-y+1/2,z'
loop_
_atom_site_label
_atom_site_type_symbol
_atom_site_fract_x
_atom_site_fract_y
_atom_site_fract_z
_atom_site_occupancy
Nd1 Nd 0.014 0.000 0.241 1
Nd2 Nd 0.163 0.500 0.121 1
Nd3 Nd 0.178 0.500 0.556 1
Si1 Si 0.168 0.000 0.336 1
Hg1 Hg 0.000 0.500 0.000 1
I1 I 0.000 0.500 0.500 1
I2 I 0.166 0.000 0.832 1
# DFT total energy (eV/cell): -108.87
# ΔE_f (raw) (meV/atom): -836

Q: The highest DFT total energy belongs to which entry?
A: ZrCdFe2N